1.
A relaxed YAg2Se crystal. Source: Alexandria, functional PBE.

The structure in CIF format:
```
data_YAg2Se
_chemical_formula_sum 'Y1 Ag2 Se1'
_symmetry_space_group_name_H-M 'P 1'
_symmetry_Int_Tables_number 1
_cell_length_a 3.737
_cell_length_b 3.737
_cell_length_c 6.696
_cell_angle_alpha 90.00
_cell_angle_beta 90.00
_cell_angle_gamma 90.00
loop_
_symmetry_equiv_pos_as_xyz
'x,y,z'
loop_
_atom_site_label
_atom_site_fract_x
_atom_site_fract_y
_atom_site_fract_z
_atom_site_occupancy
Ag1 0.000 0.000 0.033 1
Ag2 0.500 0.500 0.177 1
Y1 0.500 0.500 0.729 1
Se1 0.000 0.000 0.561 1
```

Computed properties:
For the formation energy without anion corrections, the calculation gives -0.62 eV per atom. The calculation puts the volume at 23.4 Å³ per atom. The calculation puts the spin magnetization at 0.00 μB per cell. The theoretical density is 6.81 Mg/m³. The crystal system is tetragonal.

=====

2.
A relaxed YZnSn crystal. Source: Alexandria, functional PBE.

The structure in CIF format:
```
data_YZnSn
_chemical_formula_sum 'Y1 Zn1 Sn1'
_symmetry_space_group_name_H-M 'P 1'
_symmetry_Int_Tables_number 1
_cell_length_a 4.683
_cell_length_b 4.683
_cell_length_c 4.683
_cell_angle_alpha 60.00
_cell_angle_beta 60.00
_cell_angle_gamma 60.00
loop_
_symmetry_equiv_pos_as_xyz
'x,y,z'
loop_
_atom_site_label
_atom_site_fract_x
_atom_site_fract_y
_atom_site_fract_z
_atom_site_occupancy
Y1 0.500 0.500 0.500 1
Zn1 0.250 0.250 0.250 1
Sn1 0.000 0.000 0.000 1
```

Computed properties:
The calculation puts the volume at 24.2 Å³ per atom. The calculation puts the spin magnetization at 0.00 μB per cell. The theoretical density is 6.24 Mg/m³. The crystal system is cubic. As for the formation energy: -0.42 eV/atom.

=====

3.
A relaxed K3Ac3PaTe8 crystal. Source: Alexandria, functional PBE.

The structure in CIF format:
```
data_K3Ac3PaTe8
_chemical_formula_sum 'K3 Ac3 Pa1 Te8'
_symmetry_space_group_name_H-M 'P 1'
_symmetry_Int_Tables_number 1
_cell_length_a 9.553
_cell_length_b 9.553
_cell_length_c 10.016
_cell_angle_alpha 118.50
_cell_angle_beta 90.00
_cell_angle_gamma 120.00
loop_
_symmetry_equiv_pos_as_xyz
'x,y,z'
loop_
_atom_site_label
_atom_site_fract_x
_atom_site_fract_y
_atom_site_fract_z
_atom_site_occupancy
Ac1 0.500 0.500 0.500 1
Ac2 0.500 0.000 0.500 1
Te1 0.773 0.017 0.290 1
Te2 0.741 0.483 0.724 1
Pa1 0.000 0.000 0.500 1
Te3 0.227 0.983 0.710 1
K1 0.500 0.500 0.000 1
Te4 0.259 0.517 0.276 1
Te5 0.227 0.453 0.710 1
Te6 0.773 0.547 0.290 1
Ac3 0.000 0.500 0.500 1
Te7 0.757 0.983 0.710 1
K2 0.000 0.500 0.000 1
Te8 0.243 0.017 0.290 1
K3 0.000 0.000 0.000 1
```

Computed properties:
For the formation energy without anion corrections, the calculation gives -1.35 eV per atom. The calculation puts the volume at 44.0 Å³ per atom. The calculation puts the spin magnetization at 1.01 μB per cell. The theoretical density is 5.15 Mg/m³. The crystal system is trigonal.

=====

4.
A relaxed Ce2DySnC crystal. Source: Alexandria, functional PBE.

The structure in CIF format:
```
data_Ce2DySnC
_chemical_formula_sum 'Ce2 Dy1 Sn1 C1'
_symmetry_space_group_name_H-M 'P 1'
_symmetry_Int_Tables_number 1
_cell_length_a 4.960
_cell_length_b 4.946
_cell_length_c 4.946
_cell_angle_alpha 90.00
_cell_angle_beta 90.00
_cell_angle_gamma 90.00
loop_
_symmetry_equiv_pos_as_xyz
'x,y,z'
loop_
_atom_site_label
_atom_site_fract_x
_atom_site_fract_y
_atom_site_fract_z
_atom_site_occupancy
Sn1 0.500 0.500 0.500 1
Dy1 0.500 0.000 0.000 1
Ce1 0.000 0.500 0.000 1
C1 0.000 0.000 0.000 1
Ce2 0.000 0.000 0.500 1
```

Computed properties:
The calculation puts the volume at 24.3 Å³ per atom. The calculation puts the spin magnetization at 1.24 μB per cell. The theoretical density is 7.85 Mg/m³. The crystal system is tetragonal. As for the formation energy: -0.50 eV/atom.

=====

5.
A relaxed Li2CaGe6 crystal. Source: Alexandria, functional PBE.

The structure in CIF format:
```
data_Li2CaGe6
_chemical_formula_sum 'Li2 Ca1 Ge6'
_symmetry_space_group_name_H-M 'P 1'
_symmetry_Int_Tables_number 1
_cell_length_a 3.064
_cell_length_b 8.087
_cell_length_c 8.087
_cell_angle_alpha 120.00
_cell_angle_beta 90.00
_cell_angle_gamma 90.00
loop_
_symmetry_equiv_pos_as_xyz
'x,y,z'
loop_
_atom_site_label
_atom_site_fract_x
_atom_site_fract_y
_atom_site_fract_z
_atom_site_occupancy
Ge1 0.500 0.000 0.658 1
Ge2 0.500 0.342 0.342 1
Ge3 0.500 0.342 0.000 1
Ge4 0.500 0.000 0.342 1
Li1 0.000 0.333 0.667 1
Li2 0.000 0.667 0.333 1
Ge5 0.500 0.658 0.000 1
Ge6 0.500 0.658 0.658 1
Ca1 0.000 0.000 0.000 1
```

Computed properties:
The calculation puts the volume at 19.3 Å³ per atom. The calculation puts the spin magnetization at 0.00 μB per cell. The theoretical density is 4.69 Mg/m³. The crystal system is hexagonal. As for the formation energy: -0.14 eV/atom.

=====

6.
A relaxed MnAgAuCl6 crystal. Source: Alexandria, functional PBE.

The structure in CIF format:
```
data_MnAgAuCl6
_chemical_formula_sum 'Mn2 Ag2 Au2 Cl12'
_symmetry_space_group_name_H-M 'P 1'
_symmetry_Int_Tables_number 1
_cell_length_a 6.469
_cell_length_b 6.469
_cell_length_c 11.407
_cell_angle_alpha 90.00
_cell_angle_beta 90.00
_cell_angle_gamma 120.00
loop_
_symmetry_equiv_pos_as_xyz
'x,y,z'
loop_
_atom_site_label
_atom_site_fract_x
_atom_site_fract_y
_atom_site_fract_z
_atom_site_occupancy
Cl1 0.636 0.677 0.629 1
Ag1 0.667 0.333 0.750 1
Mn1 0.667 0.333 0.250 1
Cl2 0.323 0.364 0.871 1
Cl3 0.364 0.042 0.129 1
Cl4 0.677 0.636 0.129 1
Au1 0.000 0.000 0.000 1
Cl5 0.958 0.636 0.371 1
Cl6 0.042 0.677 0.871 1
Cl7 0.323 0.958 0.629 1
Au2 0.000 0.000 0.500 1
Cl8 0.364 0.323 0.371 1
Cl9 0.677 0.042 0.371 1
Cl10 0.636 0.958 0.871 1
Ag2 0.333 0.667 0.250 1
Mn2 0.333 0.667 0.750 1
Cl11 0.958 0.323 0.129 1
Cl12 0.042 0.364 0.629 1
```

Computed properties:
For the formation energy without anion corrections, the calculation gives -0.53 eV per atom. The calculation puts the volume at 23.0 Å³ per atom. The calculation puts the spin magnetization at 6.07 μB per cell. The theoretical density is 4.60 Mg/m³. The crystal system is trigonal.

=====

Which of these has the highest spin magnetization?
MnAgAuCl6